# 1
Compound: Ba5Ca3
Source: the Alexandria database
Functional: SCAN
Structure: single point on PBEsol structure

Structure (POSCAR):
```
Ba5Ca3
1.0
-4.5602 5.7190 1.8260
-9.1124 -6.4866 -2.4408
4.3133 0.0533 10.6048
Ba Ca
10 6
direct
0.0000 0.6667 0.3333
0.7500 0.2389 0.0000
0.2500 0.2389 0.2389
0.5000 0.6667 0.3333
0.0000 0.3333 0.6667
0.7500 0.7611 0.7611
0.5000 0.3333 0.6667
0.2500 0.7611 0.0000
0.7500 0.0000 0.2389
0.2500 0.0000 0.7611
0.2500 0.4139 0.0000
0.2500 0.5861 0.5861
0.7500 0.5861 0.0000
0.7500 0.0000 0.5861
0.2500 0.0000 0.4139
0.7500 0.4139 0.4139
```

Offset from the most stable computed form ... 7 meV per atom
Energy relative to the elements ... 0.103 eV/atom

# 2
Compound: MnTe2PdI
Source: the Alexandria database
Functional: SCAN
Structure: single point on PBEsol structure

Structure (POSCAR):
```
MnTe2PdI
1.0
4.8277 0.0000 0.0000
0.0000 5.8432 0.0000
0.0000 0.0000 5.8432
Mn Te Pd I
1 2 1 1
direct
0.5000 0.5000 0.5000
0.0000 0.5000 0.0000
0.0000 0.0000 0.5000
0.5000 0.0000 0.0000
0.0000 0.0000 0.0000
```

Energy relative to the elements, uncorrected ... 4.1 eV per formula unit

| no. | volume (A^3/atom) |
| --- | --- |
| 1 | 53.48 |
| 2 | 32.97 |